22
Lattice="1.876 -12.849 0.000 1.876 12.849 0.000 0.000 0.000 13.266" Properties=species:S:1:pos:R:3 comment="Na7TlHg3 PBE-GGA relaxed" vol_a3_per_cell=639.4 formation_enthalpy_0k_ev_per_atom=-0.148 pbc="T T T"
Na 1.876 12.439 8.184
Na 1.876 12.439 11.716
Na 1.876 10.131 3.317
Na 1.876 8.824 7.825
Na 1.876 8.824 12.075
Na 1.876 5.338 8.130
Na 1.876 5.338 11.770
Na 1.876 -5.338 1.496
Na 1.876 -5.338 5.137
Na 1.876 -8.824 1.192
Na 1.876 -8.824 5.442
Na 1.876 -10.131 9.950
Na 1.876 -12.439 1.550
Na 1.876 -12.439 5.083
Tl 1.876 2.425 3.317
Tl 1.876 -2.425 9.950
Hg 1.876 5.656 3.317
Hg 1.876 2.130 7.290
Hg 1.876 2.130 12.610
Hg 1.876 -2.130 0.657
Hg 1.876 -2.130 5.977
Hg 1.876 -5.656 9.950

14
Lattice="-4.543 4.543 4.785 4.543 -4.543 4.785 4.543 4.543 -4.785" Properties=species:S:1:pos:R:3 comment="Na5TlHg8 PBE-GGA relaxed" vol_a3_per_cell=395.0 formation_enthalpy_0k_ev_per_atom=-0.163 pbc="T T T"
Na 0.000 0.000 0.000
Na 3.293 2.107 -1.414
Na 2.435 -1.250 6.198
Na 1.250 2.435 3.371
Na 2.107 5.792 1.414
Tl 4.543 0.000 2.392
Hg 6.016 0.872 -0.330
Hg 1.420 -0.721 3.113
Hg 0.872 3.069 0.330
Hg 3.122 5.263 -1.672
Hg 3.822 3.122 1.672
Hg 3.671 1.473 5.115
Hg 0.721 1.420 6.456
Hg -1.473 3.671 4.455

29
Lattice="5.991 -8.399 0.000 5.991 8.399 0.000 -5.965 0.000 8.486" Properties=species:S:1:pos:R:3 comment="Na16Tl12Hg PBE-GGA relaxed" vol_a3_per_cell=854.0 formation_enthalpy_0k_ev_per_atom=-0.108 pbc="T T T"
Na 0.000 0.000 0.000
Na 1.606 2.568 4.846
Na -0.696 0.000 5.999
Na 4.317 3.335 2.542
Na 2.339 0.000 2.743
Na 4.304 4.934 5.777
Na 6.536 2.167 0.008
Na 1.606 -2.568 4.846
Na 3.914 2.904 8.447
Na 6.536 -2.167 0.008
Na 7.626 2.562 3.407
Na 4.317 -3.335 2.542
Na 7.626 -2.562 3.407
Na 7.934 0.000 5.584
Na 4.304 -4.934 5.777
Na 3.914 -2.904 8.447
Tl -2.584 1.602 8.385
Tl 4.829 6.762 3.156
Tl 1.143 5.115 6.770
Tl 7.052 5.173 1.488
Tl -2.584 -1.602 8.385
Tl 2.497 0.000 6.697
Tl 4.823 1.640 5.279
Tl 1.143 -5.115 6.770
Tl 8.669 0.000 1.437
Tl 4.823 -1.640 5.279
Tl 7.052 -5.173 1.488
Tl 4.829 -6.762 3.156
Hg 5.683 0.000 2.554

11
Lattice="-1.851 4.153 10.400 1.851 -4.153 10.400 1.851 4.153 -10.400" Properties=species:S:1:pos:R:3 comment="Na4Tl3Hg4 PBE-GGA relaxed" vol_a3_per_cell=319.9 e_above_lowest_polymorph_ev_per_atom=0.0302 formation_enthalpy_0k_ev_per_atom=-0.096 pbc="T T T"
Na 0.000 1.578 0.000
Na 0.000 0.000 5.194
Na 0.000 0.000 15.605
Na 0.000 6.728 0.000
Tl 1.851 0.000 2.340
Tl 0.000 0.000 10.400
Tl 0.000 4.153 8.060
Hg 1.851 -1.544 7.354
Hg 0.000 2.609 3.046
Hg 1.851 1.544 7.354
Hg 0.000 5.697 3.046

11
Lattice="8.612 -2.428 0.000 8.612 2.428 0.000 -2.591 0.000 7.678" Properties=species:S:1:pos:R:3 comment="NaTl8Hg2 PBE-GGA relaxed" vol_a3_per_cell=321.2 e_above_lowest_polymorph_ev_per_atom=0.0000 formation_enthalpy_0k_ev_per_atom=-0.020 pbc="T T T"
Na 0.000 0.000 0.000
Tl 0.502 0.000 3.530
Tl 0.723 0.000 7.001
Tl 4.047 0.000 6.200
Tl 7.142 0.000 2.106
Tl 7.491 0.000 5.572
Tl 10.585 0.000 1.478
Tl 13.909 0.000 0.677
Tl 14.131 0.000 4.148
Hg 3.808 0.000 2.757
Hg 10.825 0.000 4.921

4
Lattice="-1.638 2.955 6.255 1.638 -2.955 6.255 1.638 2.955 -6.255" Properties=species:S:1:pos:R:3 comment="NaTlHg2 PBE-GGA relaxed" vol_a3_per_cell=121.2 formation_enthalpy_0k_ev_per_atom=-0.024 pbc="T T T"
Na 0.000 0.000 0.000
Tl 0.000 0.000 6.255
Hg 0.000 0.000 3.110
Hg 0.000 0.000 9.401

15
Lattice="4.481 2.587 6.573 -4.481 2.587 6.573 0.000 -5.174 6.573" Properties=species:S:1:pos:R:3 comment="NaTl8Hg6 PBE-GGA relaxed" vol_a3_per_cell=457.2 e_above_lowest_polymorph_ev_per_atom=0.0114 formation_enthalpy_0k_ev_per_atom=-0.004 pbc="T T T"
Na 0.000 0.000 0.000
Tl -3.002 0.349 9.116
Tl -1.803 -2.426 10.604
Tl 0.000 0.000 5.119
Tl 1.199 -2.775 9.116
Tl -1.199 2.775 10.604
Tl 0.000 0.000 14.600
Tl 1.803 2.426 9.116
Tl 3.002 -0.349 10.604
Hg -1.301 -2.328 7.285
Hg -2.666 -0.038 12.434
Hg -1.366 2.290 7.285
Hg 1.366 -2.290 12.434
Hg 2.666 0.038 7.285
Hg 1.301 2.328 12.434

15
Lattice="4.583 2.646 6.611 -4.583 2.646 6.611 0.000 -5.291 6.611" Properties=species:S:1:pos:R:3 comment="Na8Tl6Hg PBE-GGA relaxed" vol_a3_per_cell=480.9 e_above_lowest_polymorph_ev_per_atom=0.0090 formation_enthalpy_0k_ev_per_atom=-0.069 pbc="T T T"
Na -3.066 -0.005 7.569
Na 0.000 0.000 3.285
Na -1.528 -2.658 12.265
Na 1.538 -2.653 7.569
Na -1.538 2.653 12.265
Na 1.528 2.658 7.569
Na 0.000 0.000 16.549
Na 3.066 0.005 12.265
Tl -1.488 -2.574 8.988
Tl -2.973 0.002 10.846
Tl -1.485 2.576 8.988
Tl 1.485 -2.576 10.846
Tl 2.973 -0.002 8.988
Tl 1.488 2.574 10.846
Hg 0.000 0.000 9.917

4
Lattice="3.748 0.000 0.000 0.000 3.748 0.000 0.000 0.000 7.566" Properties=species:S:1:pos:R:3 comment="NaYTlHg PBE-GGA relaxed" vol_a3_per_cell=106.3 e_above_lowest_polymorph_ev_per_atom=0.0095 formation_enthalpy_0k_ev_per_atom=-0.281 pbc="T T T"
Na 0.000 0.000 0.000
Y 0.000 0.000 3.924
Tl 1.874 1.874 1.951
Hg 1.874 1.874 5.682

4
Lattice="0.000 3.716 3.716 3.716 0.000 3.716 3.716 3.716 0.000" Properties=species:S:1:pos:R:3 comment="NaYTlHg PBE-GGA relaxed" vol_a3_per_cell=102.6 e_above_lowest_polymorph_ev_per_atom=0.0000 formation_enthalpy_0k_ev_per_atom=-0.291 pbc="T T T"
Na 0.000 0.000 0.000
Y 3.716 3.716 3.716
Tl 5.573 5.573 5.573
Hg 1.858 1.858 1.858

4
Lattice="0.000 3.615 3.615 3.615 0.000 3.615 3.615 3.615 0.000" Properties=species:S:1:pos:R:3 comment="NaTlZnHg PBE-GGA relaxed" vol_a3_per_cell=94.4 formation_enthalpy_0k_ev_per_atom=-0.026 pbc="T T T"
Na 0.000 0.000 0.000
Tl 1.807 1.807 1.807
Zn 3.615 3.615 3.615
Hg 5.422 5.422 5.422

8
Lattice="5.179 0.000 0.000 0.000 5.179 0.000 0.000 0.000 7.292" Properties=species:S:1:pos:R:3 comment="NaTm3Hg4 PBE-GGA relaxed" vol_a3_per_cell=195.6 formation_enthalpy_0k_ev_per_atom=-0.413 pbc="T T T"
Na 0.000 0.000 0.000
Tm 0.000 0.000 3.646
Tm 2.589 2.589 0.000
Tm 2.589 2.589 3.646
Hg 0.000 2.589 1.822
Hg 0.000 2.589 5.470
Hg 2.589 0.000 1.822
Hg 2.589 0.000 5.470

12
Lattice="2.584 -7.753 0.000 2.584 7.753 0.000 0.000 0.000 7.543" Properties=species:S:1:pos:R:3 comment="Na2TmHg3 PBE-GGA relaxed" vol_a3_per_cell=302.2 formation_enthalpy_0k_ev_per_atom=-0.280 pbc="T T T"
Na 0.000 0.000 0.000
Na 0.000 0.000 3.771
Na 2.584 2.566 0.000
Na 2.584 -2.566 0.000
Tm 2.584 2.597 3.771
Tm 2.584 -2.597 3.771
Hg 2.584 5.136 1.992
Hg 2.584 5.136 5.551
Hg 2.584 0.000 1.970
Hg 2.584 0.000 5.573
Hg 2.584 -5.136 1.992
Hg 2.584 -5.136 5.551

11
Lattice="8.037 -2.493 0.000 8.037 2.493 0.000 -2.353 0.000 6.815" Properties=species:S:1:pos:R:3 comment="Na2TmHg8 PBE-GGA relaxed" vol_a3_per_cell=273.1 formation_enthalpy_0k_ev_per_atom=-0.214 pbc="T T T"
Na 3.141 0.000 1.019
Na 10.580 0.000 5.796
Tm 6.861 0.000 3.407
Hg -0.209 0.000 1.513
Hg 0.885 0.000 4.466
Hg 3.896 0.000 4.192
Hg 6.334 0.000 0.378
Hg 7.387 0.000 6.437
Hg 9.826 0.000 2.623
Hg 12.836 0.000 2.349
Hg 13.930 0.000 5.302

7
Lattice="4.315 -2.609 0.000 4.315 2.609 0.000 -1.876 0.000 9.308" Properties=species:S:1:pos:R:3 comment="Na2TmHg4 PBE-GGA relaxed" vol_a3_per_cell=209.6 formation_enthalpy_0k_ev_per_atom=-0.141 pbc="T T T"
Na 0.569 0.000 3.660
Na 6.185 0.000 5.648
Tm 4.315 0.000 0.000
Hg 1.375 0.000 0.707
Hg 0.474 0.000 6.821
Hg 6.280 0.000 2.488
Hg 5.379 0.000 8.601

18
Lattice="9.204 0.000 0.000 0.000 9.448 0.000 0.000 0.000 5.120" Properties=species:S:1:pos:R:3 comment="Na2TmHg6 PBE-GGA relaxed" vol_a3_per_cell=445.2 formation_enthalpy_0k_ev_per_atom=-0.239 pbc="T T T"
Na 1.606 2.206 0.000
Na 2.996 6.929 2.560
Na 6.208 2.518 2.560
Na 7.597 7.242 0.000
Tm 0.000 0.000 2.560
Tm 4.602 4.724 0.000
Hg 0.054 3.111 2.560
Hg 1.478 8.490 0.000
Hg 1.572 5.330 0.000
Hg 3.030 0.606 2.560
Hg 3.123 3.766 2.560
Hg 4.548 7.835 0.000
Hg 4.656 1.613 0.000
Hg 6.080 5.682 2.560
Hg 6.174 8.842 2.560
Hg 7.632 4.118 0.000
Hg 7.725 0.958 0.000
Hg 9.150 6.337 2.560

16
Lattice="4.515 0.000 0.000 0.000 4.515 0.000 0.000 0.000 18.908" Properties=species:S:1:pos:R:3 comment="NaTm3Hg12 PBE-GGA relaxed" vol_a3_per_cell=385.5 formation_enthalpy_0k_ev_per_atom=-0.255 pbc="T T T"
Na 0.000 0.000 0.000
Tm 0.000 0.000 4.645
Tm 0.000 0.000 9.454
Tm 0.000 0.000 14.262
Hg 0.000 2.258 2.402
Hg 0.000 2.258 7.101
Hg 0.000 2.258 11.807
Hg 0.000 2.258 16.506
Hg 2.258 0.000 2.402
Hg 2.258 0.000 7.101
Hg 2.258 0.000 11.807
Hg 2.258 0.000 16.506
Hg 2.258 2.258 0.000
Hg 2.258 2.258 4.781
Hg 2.258 2.258 9.454
Hg 2.258 2.258 14.127

8
Lattice="3.669 0.000 0.000 0.000 3.669 0.000 0.000 0.000 15.193" Properties=species:S:1:pos:R:3 comment="Na3TmHg4 PBE-GGA relaxed" vol_a3_per_cell=204.5 formation_enthalpy_0k_ev_per_atom=-0.276 pbc="T T T"
Na 0.000 0.000 0.000
Na 0.000 0.000 3.875
Na 0.000 0.000 11.318
Tm 0.000 0.000 7.596
Hg 1.834 1.834 1.887
Hg 1.834 1.834 5.825
Hg 1.834 1.834 9.368
Hg 1.834 1.834 13.305

10
Lattice="3.669 0.000 0.000 0.000 3.669 0.000 0.000 0.000 18.574" Properties=species:S:1:pos:R:3 comment="NaTm4Hg5 PBE-GGA relaxed" vol_a3_per_cell=250.1 formation_enthalpy_0k_ev_per_atom=-0.423 pbc="T T T"
Na 0.000 0.000 0.000
Tm 0.000 0.000 3.759
Tm 0.000 0.000 7.452
Tm 0.000 0.000 11.122
Tm 0.000 0.000 14.814
Hg 1.835 1.835 2.038
Hg 1.835 1.835 5.626
Hg 1.835 1.835 9.287
Hg 1.835 1.835 12.947
Hg 1.835 1.835 16.536

7
Lattice="2.527 1.459 8.219 -2.527 1.459 8.219 0.000 -2.918 8.219" Properties=species:S:1:pos:R:3 comment="NaTm2Hg4 PBE-GGA relaxed" vol_a3_per_cell=181.8 formation_enthalpy_0k_ev_per_atom=-0.210 pbc="T T T"
Na 0.000 0.000 0.000
Tm 0.000 0.000 6.154
Tm 0.000 0.000 18.503
Hg 0.000 0.000 3.130
Hg 0.000 0.000 9.320
Hg 0.000 0.000 15.337
Hg 0.000 0.000 21.527